No. 1
# ZrTe2Pb

A geometry-optimized ZrTe2Pb structure (PBE, Alexandria via LeMat-Bulk).

Lattice parameters (Å, degrees): 3.7805 3.7805 7.8260 90.00 90.00 90.01
Fractional coordinates of all 4 atoms:
Pb1 0.5000 0.5000 0.7340
Te1 0.0000 0.0000 0.9606
Te2 0.5000 0.5000 0.3151
Zr1 0.0000 0.0000 0.4903

**Magnetic moment**: 0.0 μB per formula unit
**Calculated volume**: 28.0 Å³ per atom
**SG**: P4mm, No. 99
**E_form (uncorrected)**: -0.2869 eV/atom

No. 2
# Nd2Tm2S3

A geometry-optimized Nd2Tm2S3 structure (PBE, Alexandria via LeMat-Bulk).

Lattice parameters (Å, degrees): 3.9364 6.8772 6.7518 102.54 90.02 106.63
Fractional coordinates of all 7 atoms:
Nd1 0.6222 0.2443 0.8562
Nd2 0.3778 0.7557 0.1438
Tm1 0.8718 0.7432 0.6315
Tm2 0.1282 0.2568 0.3685
S1 0.0000 0.0000 0.0000
S2 0.7442 0.4884 0.2604
S3 0.2558 0.5116 0.7396

**Magnetic moment**: 0.0 μB per formula unit
**Calculated volume**: 24.4 Å³ per atom
**SG**: C2/m, No. 12
**E_form (uncorrected)**: -1.6858 eV/atom

No. 3
# YZr2Fe

A geometry-optimized YZr2Fe structure (PBE, Alexandria via LeMat-Bulk).

Lattice parameters (Å, degrees): 7.7672 7.7672 6.2489 51.57 51.57 90.00
Fractional coordinates of all 8 atoms:
Y1 0.0000 0.0000 0.0000
Y2 0.7500 0.2500 0.5000
Fe1 0.5000 0.5000 0.0000
Fe2 0.2500 0.7500 0.5000
Zr1 0.5520 0.1250 0.2500
Zr2 0.1980 0.6250 0.2500
Zr3 0.3750 0.4480 0.7500
Zr4 0.8750 0.8020 0.7500

**Magnetic moment**: 0.0 μB per formula unit
**Calculated volume**: 22.5 Å³ per atom
**Offset from the most stable computed form**: 217 meV per atom
**E_form**: 0.2039 eV/atom
**SG**: I-42d, No. 122

No. 4
# SrLaAu2

A geometry-optimized SrLaAu2 structure (PBE, Alexandria via LeMat-Bulk).

Lattice parameters (Å, degrees): 5.1658 5.1658 5.1658 60.00 60.00 60.00
Fractional coordinates of all 4 atoms:
Au1 0.0000 0.0000 0.0000
Au2 0.2500 0.2500 0.2500
La1 0.5000 0.5000 0.5000
Sr1 0.7500 0.7500 0.7500

**Magnetic moment**: 0.0 μB per formula unit
**Calculated volume**: 24.4 Å³ per atom
**E_form**: -0.4629 eV/atom
**SG**: F-43m, No. 216

No. 5
# Zn2CuHPt

A geometry-optimized Zn2CuHPt structure (PBE, Alexandria via LeMat-Bulk).

Lattice parameters (Å, degrees): 4.2040 4.2040 3.3343 90.00 90.00 90.00
Fractional coordinates of all 5 atoms:
H1 0.0000 0.0000 0.0000
Zn1 0.0000 0.5000 0.0000
Zn2 0.5000 0.0000 0.0000
Cu1 0.0000 0.0000 0.5000
Pt1 0.5000 0.5000 0.5000

**Magnetic moment**: 0.0 μB per formula unit
**Calculated volume**: 11.8 Å³ per atom
**Offset from the most stable computed form**: 0 meV per atom
**SG**: P4/mmm, No. 123

No. 6
# LiDyCdBi

A geometry-optimized LiDyCdBi structure (PBE, Alexandria via LeMat-Bulk).

Lattice parameters (Å, degrees): 5.2256 5.2256 5.2256 60.00 60.00 60.00
Fractional coordinates of all 4 atoms:
Cd1 0.5000 0.5000 0.5000
Li1 0.2500 0.2500 0.2500
Bi1 0.0000 0.0000 0.0000
Dy1 0.7500 0.7500 0.7500

**Magnetic moment**: 0.0 μB per formula unit
**Calculated volume**: 25.2 Å³ per atom
**E_form**: -0.3541 eV/atom
**SG**: F-43m, No. 216

No. 7
# K3Nd3SnO8

A geometry-optimized K3Nd3SnO8 structure (PBE, Alexandria via LeMat-Bulk).

Lattice parameters (Å, degrees): 7.1082 7.1086 7.5555 118.08 90.00 120.00
Fractional coordinates of all 15 atoms:
K1 0.0000 0.0000 0.0000
K2 0.0000 0.5000 0.0000
K3 0.5000 0.5000 0.0000
Nd1 0.5000 0.0000 0.5000
Nd2 0.5000 0.5000 0.5000
Nd3 0.0000 0.5000 0.5000
Sn1 0.0000 0.0000 0.5000
O1 0.2713 0.5425 0.3139
O2 0.7287 0.4575 0.6861
O3 0.7903 0.5806 0.3221
O4 0.2097 0.4194 0.6779
O5 0.7903 0.0316 0.3221
O6 0.2097 0.9684 0.6779
O7 0.2413 0.0316 0.3221
O8 0.7587 0.9684 0.6779

**Magnetic moment**: 0.0 μB per formula unit
**Calculated volume**: 18.5 Å³ per atom
**SG**: R-3m, No. 166
**E_form (uncorrected)**: -2.4135 eV/atom

No. 8
# NaLaSm

A geometry-optimized NaLaSm structure (PBE, Alexandria via LeMat-Bulk).

Lattice parameters (Å, degrees): 3.6484 3.6484 9.3972 90.00 90.00 120.00
Fractional coordinates of all 3 atoms:
Na1 0.0000 0.0000 0.0042
Sm1 0.6667 0.3333 0.3449
La1 0.3333 0.6667 0.6510

**Magnetic moment**: 0.0 μB per formula unit
**Calculated volume**: 36.1 Å³ per atom
**Offset from the most stable computed form**: 20 meV per atom
**E_form**: 0.1080 eV/atom
**SG**: P3m1, No. 156

No. 9
# Tc2IrOs

A geometry-optimized Tc2IrOs structure (PBE, Alexandria via LeMat-Bulk).

Lattice parameters (Å, degrees): 2.7319 2.7319 7.7923 90.00 90.00 90.00
Fractional coordinates of all 4 atoms:
Ir1 0.0000 0.0000 0.4975
Os1 0.5000 0.5000 0.7565
Tc1 0.0000 0.0000 0.9911
Tc2 0.5000 0.5000 0.2549

**Magnetic moment**: 0.0 μB per formula unit
**Calculated volume**: 14.5 Å³ per atom
**Offset from the most stable computed form**: 183 meV per atom
**E_form**: -0.0063 eV/atom
**SG**: P4mm, No. 99

Question: Among the records above, which one has the highest calculated volume?
Answer: NaLaSm